1.
# FeSb2TeSe PBE optimized geometry
# Relative energy among the computed polymorphs = 730 meV/atom
# E_form (uncorrected) = 106 kJ per mole of atoms
data_FeSb2TeSe
_chemical_formula_sum 'Fe1 Sb2 Te1 Se1'
_cell_length_a 5.4023
_cell_length_b 5.4023
_cell_length_c 5.3703
_cell_angle_alpha 90.00
_cell_angle_beta 90.00
_cell_angle_gamma 90.00
_space_group_name_H-M_alt 'P 4/m m m'
_space_group_IT_number 123
_space_group_name_Hall '-P 4 2'
loop_
_atom_site_label
_atom_site_type_symbol
_atom_site_fract_x
_atom_site_fract_y
_atom_site_fract_z
_atom_site_occupancy
Fe1 Fe 0.0000 0.0000 0.0000 1
Sb1 Sb 0.0000 0.5000 0.5000 1
Te1 Te 0.5000 0.5000 0.0000 1
Se1 Se 0.5000 0.5000 0.5000 1



2.
# Pm5Y8Th PBE optimized geometry
# Energy relative to the elements = 272 meV/atom
data_Pm5Y8Th
_chemical_formula_sum 'Pm10 Y16 Th2'
_cell_length_a 9.7129
_cell_length_b 9.7129
_cell_length_c 10.1252
_cell_angle_alpha 90.00
_cell_angle_beta 90.00
_cell_angle_gamma 90.00
_space_group_name_H-M_alt 'I -4'
_space_group_IT_number 82
loop_
_space_group_symop_operation_xyz
'x,y,z'
'y,-x,-z'
'-x,-y,z'
'-y,x,-z'
'x+1/2,y+1/2,z+1/2'
'y+1/2,-x+1/2,-z+1/2'
'-x+1/2,-y+1/2,z+1/2'
'-y+1/2,x+1/2,-z+1/2'
loop_
_atom_site_label
_atom_site_type_symbol
_atom_site_fract_x
_atom_site_fract_y
_atom_site_fract_z
_atom_site_occupancy
Pm1 Pm 0.0000 0.0000 0.0000 1
Pm2 Pm 0.1136 0.2156 0.5814 1
Y1 Y 0.0703 0.3270 0.9110 1
Y2 Y 0.0870 0.1751 0.2520 1
Th1 Th 0.0000 0.5000 0.2500 1



3.
# MnCuSn2Se5 PBE optimized geometry
# E_form (uncorrected) = -30 kJ per mole of atoms
data_MnCuSn2Se5
_chemical_formula_sum 'Mn4 Cu4 Sn8 Se20'
_cell_length_a 3.8114
_cell_length_b 17.0955
_cell_length_c 13.1641
_cell_angle_alpha 90.00
_cell_angle_beta 90.00
_cell_angle_gamma 90.00
_space_group_name_H-M_alt 'C m c 21'
_space_group_IT_number 36
loop_
_space_group_symop_operation_xyz
'x,y,z'
'-x,-y,z+1/2'
'-x,y,z'
'x,-y,z+1/2'
'x+1/2,y+1/2,z'
'-x+1/2,-y+1/2,z+1/2'
'-x+1/2,y+1/2,z'
'x+1/2,-y+1/2,z+1/2'
loop_
_atom_site_label
_atom_site_type_symbol
_atom_site_fract_x
_atom_site_fract_y
_atom_site_fract_z
_atom_site_occupancy
Mn1 Mn 0.0000 0.2245 0.0000 1
Cu1 Cu 0.0000 0.4206 0.4276 1
Sn1 Sn 0.0000 0.0952 0.6110 1
Sn2 Sn 0.0000 0.1066 0.2526 1
Se1 Se 0.0000 0.0714 0.0383 1
Se2 Se 0.0000 0.2615 0.6305 1
Se3 Se 0.0000 0.2855 0.3767 1
Se4 Se 0.0000 0.3671 0.9663 1
Se5 Se 0.0000 0.4832 0.2648 1